Computed, not measured: K2CdHg6 after structural relaxation at the PBE level of DFT.

The calculation puts the formation energy at -211 meV/atom. The density of states at the Fermi level is 4.74 states/eV/cell. The volume is 542.3 Å³ per cell. Its density is 8.54 g/cm³.

It has space group C2/m (No. 12), with a = 12.095 Å, b = 7.009 Å, c = 6.396 Å, α = 90.00°, β = 90.14° and γ = 90.00°. Symmetry generates all atoms from K at (0.167, 0.000, 0.337), Cd at (0.000, 0.500, 0.500), Hg at (0.090, 0.229, 0.827) and Hg at (0.180, 0.500, 0.172).